Record 1
The following is a PBE calculation of SiP2C after structural relaxation, from the Alexandria database.

Unit cell a=8.9159 b=3.2083 c=5.2452 alpha=90.00 beta=115.17 gamma=90.00
Space group Cm (No. 8)
Symmetry-distinct sites (fractional):
Si (0.0000, 0.0000, 0.0000)
P (0.1941, 0.0000, 0.4598)
P (0.2029, 0.5000, 0.7515)
C (0.0616, 0.5000, 0.8990)

mass density = 2.50 g/cm³
spin magnetization = 0.0 μB/f.u.
uncorrected formation energy = 0.349 eV per atom
offset from the most stable computed form = 154.2 meV/atom
D(E_F) = 0.1 states/eV/f.u.

Record 2
The following is a PBE calculation of Mg2Si4PdPt3 after structural relaxation, from the Alexandria database.

Unit cell a=3.9183 b=3.9183 c=10.7399 alpha=90.00 beta=90.00 gamma=90.00
Space group P-4m2 (No. 115)
Symmetry-distinct sites (fractional):
Mg (0.0000, 0.5000, 0.2459)
Si (0.0000, 0.0000, 0.5000)
Si (0.0000, 0.5000, 0.8594)
Si (0.5000, 0.5000, 0.5000)
Pd (0.5000, 0.5000, 0.0000)
Pt (0.0000, 0.0000, 0.0000)
Pt (0.0000, 0.5000, 0.6393)

mass density = 8.59 g/cm³
spin magnetization = 0.0 μB/f.u.
uncorrected formation energy = -0.604 eV per atom
D(E_F) = 4.5 states/eV/f.u.

Record 3
The following is a PBE calculation of Ba2P after structural relaxation, from the Alexandria database.

Unit cell a=4.6949 b=23.4697 c=4.6972 alpha=90.00 beta=90.00 gamma=90.00
Space group Cmcm (No. 63)
Symmetry-distinct sites (fractional):
Ba (0.0000, 0.0985, 0.2500)
Ba (0.0000, 0.2697, 0.7500)
P (0.0000, 0.3559, 0.2500)

mass density = 3.92 g/cm³
spin magnetization = 0.0 μB/f.u.
D(E_F) = 1.9 states/eV/f.u.
DFT formation energy = -0.5500 eV per atom

Record 4
The following is a PBE calculation of Mn3Mo after structural relaxation, from the Alexandria database.

Unit cell a=4.7628 b=4.7628 c=4.7628 alpha=90.00 beta=90.00 gamma=90.00
Space group Pm-3m (No. 221)
Symmetry-distinct sites (fractional):
Mn (0.0000, 0.0000, 0.5000)
Mo (0.0000, 0.0000, 0.0000)

mass density = 4.01 g/cm³
spin magnetization = 9.6 μB/f.u.
D(E_F) = 4.6 states/eV/f.u.
DFT formation energy = 1.8438 eV per atom